KAsBr: relaxed, GGA-PBE.

Computed properties:
Crystal system = orthorhombic
Formation energy from raw total energies = -0.340 eV per atom
Size of the total moment = 0.00 μB/cell
Calculated volume = 35.124 A^3/atom

POSCAR file:
```
KAsBr
1.0
6.400 -0.246 0.223
3.415 5.418 -0.223
-4.427 -3.499 3.039
K Br As
1 1 1
Cartesian
6.479 3.414 0.000
2.754 1.451 0.000
0.582 0.307 0.000
```


KAs2Br: relaxed, GGA-PBE.

Computed properties:
Crystal system = tetragonal
Formation energy from raw total energies = 0.438 eV per atom
Size of the total moment = 0.00 μB/cell
Calculated volume = 24.942 A^3/atom

POSCAR file:
```
KAs2Br
1.0
3.289 0.000 0.000
0.000 3.289 0.000
0.000 0.000 9.222
K Br As
1 1 2
Cartesian
1.645 1.645 6.916
1.645 1.645 2.305
0.000 0.000 0.258
0.000 0.000 4.353
```


KLaAsBr2: relaxed, GGA-PBE.

Computed properties:
Crystal system = tetragonal
Formation energy from raw total energies = -1.216 eV per atom
Size of the total moment = 0.70 μB/cell
Calculated volume = 40.919 A^3/atom

POSCAR file:
```
KLaAsBr2
1.0
-3.254 4.086 2.861
-4.804 -3.485 -0.487
1.298 -2.493 5.038
As La Br K
1 1 2 1
Cartesian
0.649 -1.247 2.519
0.000 0.000 0.000
-1.627 2.043 1.430
-2.402 -1.742 -0.243
-3.380 -0.946 3.706
```


KLiAsBr2: relaxed, GGA-PBE.

Computed properties:
Crystal system = tetragonal
Formation energy from raw total energies = -0.612 eV per atom
Size of the total moment = 2.99 μB/cell
Calculated volume = 30.709 A^3/atom

POSCAR file:
```
KLiAsBr2
1.0
5.397 0.000 0.000
0.000 5.397 0.000
0.000 0.000 5.271
Br As K Li
2 1 1 1
Cartesian
0.000 2.699 0.000
2.699 0.000 0.000
0.000 0.000 2.636
2.699 2.699 2.636
0.000 0.000 0.000
```